This record from the Alexandria database describes a relaxed TiP2BrCl crystal. The functional is PBE.

a b c (Å): 4.8522 4.8522 4.6747
angles (deg): 90.00 90.00 90.00
With the nearest neighbours (Å) after each atom.
Fractional positions:
P 0.0000 0.5000 0.0000  2 Ti 2.43
P 0.5000 0.0000 0.0000  2 Ti 2.43
Cl 0.0000 0.0000 0.5000  2 Ti 2.34
Ti 0.0000 0.0000 0.0000  2 Cl 2.34, 4 P 2.43
Br 0.5000 0.5000 0.5000  8 P 3.37, 4 Cl 3.43

Space group: No. 123
Relative energy among the computed polymorphs in meV/atom: 0
Uncorrected formation energy in eV/atom: -0.016
Density of states at the Fermi level in states/eV/atom: 0.74
M_tot in μB/cell: 0.00